No. 1
BePd3Ru | Alexandria | GGA-PBE | relaxed; total magnetic moment = 2.68 μB/cell; final energy = -5.36 eV/atom; calculated formation energy = 353 meV per atom
1.0
-2.356 -3.171 -1.440
-0.245 -1.583 3.887
-3.474 2.262 0.702
Ru Be Pd
1 1 3
Direct
0.500 0.500 0.500 Ru
0.000 0.000 0.000 Be
0.000 0.000 0.500 Pd
0.000 0.500 0.000 Pd
0.500 0.000 0.000 Pd

=====

No. 2
Be2PdRu | Alexandria | GGA-PBE | relaxed; total magnetic moment = 0.00 μB/cell; final energy = -5.88 eV/atom; calculated formation energy = -402 meV per atom
1.0
2.792 0.000 0.000
0.000 2.792 0.000
0.000 0.000 5.693
Pd Ru Be
1 1 2
Direct
0.500 0.500 0.500 Pd
0.500 0.500 0.000 Ru
0.000 0.000 0.242 Be
0.000 0.000 0.758 Be

=====

No. 3
Be2PdRu2 | Alexandria | GGA-PBE | relaxed; total magnetic moment = 0.00 μB/cell; final energy = -6.14 eV/atom; calculated formation energy = 101 meV per atom
1.0
6.819 0.000 0.000
0.000 6.819 0.000
0.000 0.000 2.684
Be Pd Ru
4 2 4
Direct
0.169 0.669 0.500 Be
0.669 0.831 0.500 Be
0.831 0.331 0.500 Be
0.331 0.169 0.500 Be
0.000 0.000 0.000 Pd
0.500 0.500 0.000 Pd
0.626 0.126 0.000 Ru
0.874 0.626 0.000 Ru
0.374 0.874 0.000 Ru
0.126 0.374 0.000 Ru

=====

No. 4
BePdRuS2 | Alexandria | GGA-PBE | relaxed; total magnetic moment = 0.00 μB/cell; raw formation energy = 0.83 eV per atom; final energy = -4.46 eV/atom
1.0
-3.188 2.827 0.985
0.691 -1.012 5.140
2.938 3.230 0.241
Be S Pd Ru
1 2 1 1
Direct
0.500 0.500 0.500 Be
0.500 0.000 0.000 S
0.000 0.000 0.500 S
0.000 0.500 0.000 Pd
0.000 0.000 0.000 Ru

=====

No. 5
BePdRu2S | Alexandria | GGA-PBE | relaxed; total magnetic moment = 0.00 μB/cell; raw formation energy = 0.77 eV per atom; final energy = -5.55 eV/atom
1.0
4.212 0.000 0.000
0.000 4.075 0.000
0.000 0.000 4.212
Pd Ru S Be
1 2 1 1
Direct
0.000 0.500 0.000 Pd
0.500 0.000 0.000 Ru
0.000 0.000 0.500 Ru
0.500 0.500 0.500 S
0.000 0.000 0.000 Be

=====

No. 6
BeSiPdRu | Alexandria | GGA-PBE | relaxed; total magnetic moment = 0.00 μB/cell; raw formation energy = -0.55 eV per atom; final energy = -6.45 eV/atom
1.0
4.088 0.000 0.000
2.044 3.541 0.000
2.044 1.180 3.338
Ru Si Pd Be
1 1 1 1
Direct
0.000 0.000 0.000 Ru
0.250 0.250 0.250 Si
0.500 0.500 0.500 Pd
0.750 0.750 0.750 Be